Entry from Alexandria via LeMat-Bulk: crystalline PaMnAgSe4 at its relaxed geometry (PBE).

a = 7.837 Å, b = 7.837 Å, c = 7.837 Å
α = 117.67°, β = 113.62°, γ = 97.76°
Fractional coordinates of all 14 atoms:
Pa  0.000  0.000  0.000
Pa  0.500  0.000  0.500
Mn  0.500  0.000  0.000
Mn  0.500  0.500  0.500
Ag  0.054  0.304  0.750
Ag  0.946  0.696  0.250
Se  0.236  0.214  0.478
Se  0.236  0.758  0.022
Se  0.284  0.734  0.549
Se  0.315  0.266  0.049
Se  0.685  0.734  0.951
Se  0.716  0.266  0.451
Se  0.764  0.242  0.978
Se  0.764  0.786  0.522

Calculated values
mass density	6.57	g/cm³
formation energy without anion corrections	-0.80	eV/atom